Record 1
# HfHgPS2

HfHgPS2 after structural relaxation (GGA-PBE, Alexandria).

Summary:
- Space group: No. 123
- Uncorrected formation energy: 423 kJ/mol of formula units

Cell: 4.799 4.799 4.944 Å, 90.00 90.00 90.00°
Fractional positions:
Hf (0.000, 0.000, 0.000)
Hg (0.500, 0.500, 0.500)
P (0.500, 0.500, 0.000)
S (0.000, 0.500, 0.500)
S (0.500, 0.000, 0.500)

***

Record 2
# RbTaTiO5

RbTaTiO5 after structural relaxation (GGA-PBE, Alexandria).

Summary:
- Space group: No. 62
- Uncorrected formation energy: -2163 kJ/mol of formula units

Cell: 6.514 3.842 19.412 Å, 90.00 90.00 90.00°
Fractional positions:
Rb (0.217, 0.250, 0.196)
Rb (0.283, 0.750, 0.696)
Rb (0.717, 0.250, 0.304)
Rb (0.783, 0.750, 0.804)
Ta (0.226, 0.250, 0.896)
Ta (0.274, 0.750, 0.396)
Ta (0.726, 0.250, 0.604)
Ta (0.774, 0.750, 0.104)
Ti (0.181, 0.250, 0.533)
Ti (0.319, 0.750, 0.033)
Ti (0.681, 0.250, 0.967)
Ti (0.819, 0.750, 0.467)
O (0.033, 0.250, 0.615)
O (0.066, 0.750, 0.070)
O (0.147, 0.750, 0.509)
O (0.160, 0.250, 0.805)
O (0.237, 0.750, 0.923)
O (0.263, 0.250, 0.423)
O (0.340, 0.750, 0.305)
O (0.353, 0.250, 0.009)
O (0.434, 0.250, 0.570)
O (0.467, 0.750, 0.115)
O (0.533, 0.250, 0.885)
O (0.566, 0.750, 0.430)
O (0.647, 0.750, 0.991)
O (0.660, 0.250, 0.695)
O (0.737, 0.750, 0.577)
O (0.763, 0.250, 0.077)
O (0.840, 0.750, 0.195)
O (0.853, 0.250, 0.491)
O (0.934, 0.250, 0.930)
O (0.967, 0.750, 0.385)

***

Record 3
# YAlRh2

YAlRh2 after structural relaxation (GGA-PBE, Alexandria).

Summary:
- Space group: No. 216
- ΔE_f: -0.341 eV/atom

Cell: 6.553 6.553 6.553 Å, 90.00 90.00 90.00°
Fractional positions:
Y (0.000, 0.000, 0.000)
Y (0.000, 0.500, 0.500)
Y (0.500, 0.000, 0.500)
Y (0.500, 0.500, 0.000)
Al (0.250, 0.250, 0.250)
Al (0.250, 0.750, 0.750)
Al (0.750, 0.250, 0.750)
Al (0.750, 0.750, 0.250)
Rh (0.000, 0.000, 0.500)
Rh (0.000, 0.500, 0.000)
Rh (0.250, 0.250, 0.750)
Rh (0.250, 0.750, 0.250)
Rh (0.500, 0.000, 0.000)
Rh (0.500, 0.500, 0.500)
Rh (0.750, 0.250, 0.250)
Rh (0.750, 0.750, 0.750)

***

Record 4
# CsLi2Pd2

CsLi2Pd2 after structural relaxation (GGA-PBE, Alexandria).

Summary:
- Space group: No. 127
- ΔE_f: -0.023 eV/atom

Cell: 8.267 8.267 3.139 Å, 90.00 90.00 90.00°
Fractional positions:
Cs (0.000, 0.000, 0.000)
Cs (0.500, 0.500, 0.000)
Li (0.128, 0.372, 0.000)
Li (0.372, 0.872, 0.000)
Li (0.628, 0.128, 0.000)
Li (0.872, 0.628, 0.000)
Pd (0.136, 0.636, 0.500)
Pd (0.364, 0.136, 0.500)
Pd (0.636, 0.864, 0.500)
Pd (0.864, 0.364, 0.500)

***

Record 5
# RbVN3

RbVN3 after structural relaxation (GGA-PBE, Alexandria).

Summary:
- Space group: No. 221
- Uncorrected formation energy: 1578 kJ/mol of formula units

Cell: 4.320 4.320 4.320 Å, 90.00 90.00 90.00°
Fractional positions:
Rb (0.000, 0.000, 0.000)
V (0.500, 0.500, 0.500)
N (0.000, 0.000, 0.500)
N (0.000, 0.500, 0.000)
N (0.500, 0.000, 0.000)

***

Record 6
# EuPtAu2

EuPtAu2 after structural relaxation (GGA-PBE, Alexandria).

Summary:
- Space group: No. 123
- ΔE_f: -0.493 eV/atom

Cell: 4.326 4.326 4.294 Å, 90.00 90.00 90.00°
Fractional positions:
Eu (0.000, 0.000, 0.000)
Pt (0.500, 0.500, 0.000)
Au (0.000, 0.500, 0.500)
Au (0.500, 0.000, 0.500)

***

Record 7
# TbPrPd4

TbPrPd4 after structural relaxation (GGA-PBE, Alexandria).

Summary:
- Space group: No. 63
- ΔE_f: -0.834 eV/atom

Cell: 10.153 10.153 5.816 Å, 90.00 90.00 155.84°
Fractional positions:
Tb (0.076, 0.924, 0.750)
Tb (0.924, 0.076, 0.250)
Pr (0.223, 0.777, 0.250)
Pr (0.777, 0.223, 0.750)
Pd (0.071, 0.929, 0.250)
Pd (0.356, 0.644, 0.508)
Pd (0.356, 0.644, 0.992)
Pd (0.500, 0.500, 0.000)
Pd (0.500, 0.500, 0.500)
Pd (0.644, 0.356, 0.008)
Pd (0.644, 0.356, 0.492)
Pd (0.929, 0.071, 0.750)

***

Record 8
# BaSrI4

BaSrI4 after structural relaxation (GGA-PBE, Alexandria).

Summary:
- Space group: No. 36
- Uncorrected formation energy: -967 kJ/mol of formula units

Cell: 12.296 12.296 8.245 Å, 90.00 90.00 150.14°
Fractional positions:
Ba (0.190, 0.810, 0.500)
Ba (0.810, 0.190, 0.000)
Sr (0.414, 0.586, 0.596)
Sr (0.586, 0.414, 0.096)
I (0.113, 0.887, 0.130)
I (0.290, 0.710, 0.809)
I (0.322, 0.678, 0.287)
I (0.458, 0.542, 0.971)
I (0.542, 0.458, 0.471)
I (0.678, 0.322, 0.787)
I (0.710, 0.290, 0.309)
I (0.887, 0.113, 0.630)

***

Record 9
# LiCeIn2Br6

LiCeIn2Br6 after structural relaxation (GGA-PBE, Alexandria).

Summary:
- Space group: No. 14
- Uncorrected formation energy: -1238 kJ/mol of formula units

Cell: 7.628 8.007 13.249 Å, 90.00 124.30 90.00°
Fractional positions:
Li (0.000, 0.000, 0.000)
Li (0.000, 0.500, 0.500)
Ce (0.500, 0.000, 0.500)
Ce (0.500, 0.500, 0.000)
In (0.217, 0.080, 0.741)
In (0.217, 0.420, 0.241)
In (0.783, 0.580, 0.759)
In (0.783, 0.920, 0.259)
Br (0.141, 0.201, 0.453)
Br (0.141, 0.299, 0.953)
Br (0.249, 0.697, 0.448)
Br (0.249, 0.803, 0.948)
Br (0.344, 0.021, 0.242)
Br (0.344, 0.479, 0.742)
Br (0.656, 0.521, 0.258)
Br (0.656, 0.979, 0.758)
Br (0.751, 0.197, 0.052)
Br (0.751, 0.303, 0.552)
Br (0.859, 0.701, 0.047)
Br (0.859, 0.799, 0.547)

***

Record 10
# Zr3HgC

Zr3HgC after structural relaxation (GGA-PBE, Alexandria).

Summary:
- Space group: No. 167
- ΔE_f: 0.121 eV/atom

Cell: 5.822 5.822 5.822 Å, 90.02 90.02 90.02°
Fractional positions:
Zr (0.007, 0.750, 0.493)
Zr (0.250, 0.507, 0.993)
Zr (0.493, 0.007, 0.750)
Zr (0.507, 0.993, 0.250)
Zr (0.750, 0.493, 0.007)
Zr (0.993, 0.250, 0.507)
Hg (0.000, 0.000, 0.000)
Hg (0.500, 0.500, 0.500)
C (0.250, 0.250, 0.250)
C (0.750, 0.750, 0.750)

***

Record 11
# Tb3Np2Se8

Tb3Np2Se8 after structural relaxation (GGA-PBE, Alexandria).

Summary:
- Space group: No. 12
- Uncorrected formation energy: -1833 kJ/mol of formula units

Cell: 8.406 8.406 6.931 Å, 106.70 106.70 58.17°
Fractional positions:
Tb (0.000, 0.000, 0.000)
Tb (0.260, 0.740, 0.500)
Tb (0.740, 0.260, 0.500)
Np (0.258, 0.258, 0.835)
Np (0.742, 0.742, 0.165)
Se (0.111, 0.638, 0.085)
Se (0.118, 0.118, 0.423)
Se (0.362, 0.889, 0.915)
Se (0.389, 0.389, 0.615)
Se (0.611, 0.611, 0.385)
Se (0.638, 0.111, 0.085)
Se (0.882, 0.882, 0.577)
Se (0.889, 0.362, 0.915)

***

Record 12
# Sm12InCo6

Sm12InCo6 after structural relaxation (GGA-PBE, Alexandria).

Summary:
- Space group: No. 204
- ΔE_f: -0.177 eV/atom

Cell: 8.557 8.557 8.557 Å, 109.47 109.47 109.47°
Fractional positions:
Sm (0.112, 0.305, 0.807)
Sm (0.193, 0.498, 0.305)
Sm (0.193, 0.888, 0.695)
Sm (0.305, 0.193, 0.498)
Sm (0.305, 0.807, 0.112)
Sm (0.498, 0.305, 0.193)
Sm (0.502, 0.695, 0.807)
Sm (0.695, 0.193, 0.888)
Sm (0.695, 0.807, 0.502)
Sm (0.807, 0.112, 0.305)
Sm (0.807, 0.502, 0.695)
Sm (0.888, 0.695, 0.193)
In (0.000, 0.000, 0.000)
Co (0.112, 0.500, 0.612)
Co (0.388, 0.888, 0.500)
Co (0.500, 0.388, 0.888)
Co (0.500, 0.612, 0.112)
Co (0.612, 0.112, 0.500)
Co (0.888, 0.500, 0.388)

***

Record 13
# Cr2CdPt

Cr2CdPt after structural relaxation (GGA-PBE, Alexandria).

Summary:
- Space group: No. 123
- ΔE_f: 0.215 eV/atom

Cell: 2.998 2.998 7.447 Å, 90.00 90.00 90.00°
Fractional positions:
Cr (0.000, 0.000, 0.223)
Cr (0.000, 0.000, 0.777)
Cd (0.500, 0.500, 0.500)
Pt (0.500, 0.500, 0.000)

***

Record 14
# YFe2Rh2

YFe2Rh2 after structural relaxation (GGA-PBE, Alexandria).

Summary:
- Space group: No. 139
- ΔE_f: -0.195 eV/atom

Cell: 4.205 4.205 9.581 Å, 90.00 90.00 90.00°
Fractional positions:
Y (0.000, 0.000, 0.000)
Y (0.500, 0.500, 0.500)
Fe (0.000, 0.000, 0.383)
Fe (0.000, 0.000, 0.617)
Fe (0.500, 0.500, 0.117)
Fe (0.500, 0.500, 0.883)
Rh (0.000, 0.500, 0.250)
Rh (0.000, 0.500, 0.750)
Rh (0.500, 0.000, 0.250)
Rh (0.500, 0.000, 0.750)

***

Record 15
# BeTlHSe2

BeTlHSe2 after structural relaxation (GGA-PBE, Alexandria).

Summary:
- Space group: No. 123
- Final energy: -2.889 eV per atom

Cell: 4.309 4.309 6.762 Å, 90.00 90.00 90.00°
Fractional positions:
Be (0.000, 0.000, 0.000)
Tl (0.000, 0.000, 0.500)
H (0.500, 0.500, 0.500)
Se (0.000, 0.500, 0.000)
Se (0.500, 0.000, 0.000)

***

Record 16
# CaScS

CaScS after structural relaxation (GGA-PBE, Alexandria).

Summary:
- Space group: No. 12
- Uncorrected formation energy: -343 kJ/mol of formula units

Cell: 12.166 3.729 6.626 Å, 90.00 99.46 90.00°
Fractional positions:
Ca (0.115, 0.000, 0.361)
Ca (0.385, 0.500, 0.639)
Ca (0.615, 0.500, 0.361)
Ca (0.885, 0.000, 0.639)
Sc (0.126, 0.500, 0.900)
Sc (0.374, 0.000, 0.100)
Sc (0.626, 0.000, 0.900)
Sc (0.874, 0.500, 0.100)
S (0.237, 0.000, 0.758)
S (0.263, 0.500, 0.242)
S (0.737, 0.500, 0.758)
S (0.763, 0.000, 0.242)

***

Record 17
# Pm2Ho3PuSe6

Pm2Ho3PuSe6 after structural relaxation (GGA-PBE, Alexandria).

Summary:
- Space group: No. 12
- Uncorrected formation energy: -2026 kJ/mol of formula units

Cell: 9.226 9.226 8.299 Å, 103.64 103.64 25.57°
Fractional positions:
Pm (0.166, 0.166, 0.332)
Pm (0.834, 0.834, 0.668)
Ho (0.167, 0.167, 0.836)
Ho (0.500, 0.500, 0.500)
Ho (0.833, 0.833, 0.164)
Pu (0.500, 0.500, 0.000)
Se (0.003, 0.003, 0.746)
Se (0.332, 0.332, 0.924)
Se (0.336, 0.336, 0.409)
Se (0.664, 0.664, 0.591)
Se (0.668, 0.668, 0.076)
Se (0.997, 0.997, 0.254)

***

Record 18
# Y3Ho2Sc4

Y3Ho2Sc4 after structural relaxation (GGA-PBE, Alexandria).

Summary:
- Space group: No. 15
- ΔE_f: 0.118 eV/atom

Cell: 9.682 9.682 5.855 Å, 94.80 94.80 69.69°
Fractional positions:
Y (0.103, 0.897, 0.750)
Y (0.242, 0.435, 0.884)
Y (0.435, 0.242, 0.384)
Y (0.565, 0.758, 0.616)
Y (0.758, 0.565, 0.116)
Y (0.897, 0.103, 0.250)
Ho (0.013, 0.731, 0.185)
Ho (0.269, 0.987, 0.315)
Ho (0.731, 0.013, 0.685)
Ho (0.987, 0.269, 0.815)
Sc (0.079, 0.364, 0.345)
Sc (0.320, 0.597, 0.478)
Sc (0.364, 0.079, 0.845)
Sc (0.403, 0.680, 0.022)
Sc (0.597, 0.320, 0.978)
Sc (0.636, 0.921, 0.155)
Sc (0.680, 0.403, 0.522)
Sc (0.921, 0.636, 0.655)

***

Record 19
# AgBiAsSe2

AgBiAsSe2 after structural relaxation (GGA-PBE, Alexandria).

Summary:
- Space group: No. 123
- Uncorrected formation energy: 159 kJ/mol of formula units

Cell: 5.213 5.213 4.839 Å, 90.00 90.00 90.00°
Fractional positions:
Ag (0.000, 0.000, 0.000)
Bi (0.500, 0.500, 0.000)
As (0.000, 0.000, 0.500)
Se (0.000, 0.500, 0.500)
Se (0.500, 0.000, 0.500)

***

Record 20
# La2CdFe

La2CdFe after structural relaxation (GGA-PBE, Alexandria).

Summary:
- Space group: No. 44
- ΔE_f: 0.076 eV/atom

Cell: 3.615 5.167 11.096 Å, 90.00 90.00 90.00°
Fractional positions:
La (0.000, 0.000, 0.000)
La (0.000, 0.500, 0.188)
La (0.500, 0.000, 0.688)
La (0.500, 0.500, 0.500)
Cd (0.000, 0.000, 0.401)
Cd (0.500, 0.500, 0.901)
Fe (0.000, 0.500, 0.717)
Fe (0.500, 0.000, 0.217)

***

Record 21
# Be2Ga2FeNi5

Be2Ga2FeNi5 after structural relaxation (GGA-PBE, Alexandria).

Summary:
- Space group: No. 127
- ΔE_f: -0.188 eV/atom

Cell: 8.210 8.210 3.325 Å, 90.00 90.00 90.00°
Fractional positions:
Be (0.122, 0.378, 0.000)
Be (0.378, 0.878, 0.000)
Be (0.622, 0.122, 0.000)
Be (0.878, 0.622, 0.000)
Ga (0.174, 0.674, 0.000)
Ga (0.326, 0.174, 0.000)
Ga (0.674, 0.826, 0.000)
Ga (0.826, 0.326, 0.000)
Fe (0.000, 0.000, 0.000)
Fe (0.500, 0.500, 0.000)
Ni (0.000, 0.500, 0.500)
Ni (0.076, 0.206, 0.500)
Ni (0.206, 0.924, 0.500)
Ni (0.294, 0.424, 0.500)
Ni (0.424, 0.706, 0.500)
Ni (0.500, 0.000, 0.500)
Ni (0.576, 0.294, 0.500)
Ni (0.706, 0.576, 0.500)
Ni (0.794, 0.076, 0.500)
Ni (0.924, 0.794, 0.500)

***

Record 22
# SrGaN2O

SrGaN2O after structural relaxation (GGA-PBE, Alexandria).

Summary:
- Space group: No. 123
- Uncorrected formation energy: -103 kJ/mol of formula units

Cell: 4.019 4.019 4.100 Å, 90.00 90.00 90.00°
Fractional positions:
Sr (0.000, 0.000, 0.000)
Ga (0.500, 0.500, 0.500)
N (0.000, 0.500, 0.500)
N (0.500, 0.000, 0.500)
O (0.500, 0.500, 0.000)

***

M_tot (computed, μB per cell): 0.000 0.000 0.000 0.000 0.015 6.916 0.000 0.000 2.000 0.000 7.000 0.001 7.293 12.102 0.000 0.000 6.016 0.000 0.000 3.412 7.801 2.928